1.
meta-GGA SCAN Li2CoP4O12, single point on PBEsol structure; size of the total moment = 3.022 μB/f.u.
1.0
-0.305 5.120 -0.686
-6.493 2.397 -2.389
-4.398 1.053 5.454
P Co O Li
4 1 12 2
Cartesian
-8.796 5.511 2.056
-2.399 3.059 0.323
-6.253 4.083 2.893
-4.942 4.487 -0.514
0.000 0.000 0.000
-10.073 4.711 1.829
-4.490 5.113 -1.927
-5.694 3.195 -0.791
-1.122 3.859 0.550
-6.705 3.457 4.306
-5.586 5.557 0.286
-5.501 5.375 3.169
-5.610 3.013 2.092
-7.651 4.401 2.202
-8.453 6.571 1.092
-3.544 4.169 0.176
-2.743 1.999 1.287
-4.305 1.588 2.378
-6.890 6.982 0.000


2.
meta-GGA SCAN Li2CoP4O12, single point on PBEsol structure; size of the total moment = 3.000 μB/f.u.
1.0
-1.702 -7.329 0.723
5.910 -0.852 -5.951
3.087 1.157 7.759
Li Co P O
4 2 8 24
Cartesian
1.306 -5.083 3.184
5.988 -1.941 -0.653
4.297 -5.008 3.789
2.998 -2.016 -1.258
3.025 -0.935 6.174
4.270 -6.090 -3.642
4.679 -0.356 3.559
6.564 -5.945 1.182
0.282 -5.031 -0.245
0.731 -1.080 1.349
2.615 -6.669 -1.027
7.012 -1.993 2.776
4.813 -4.721 -0.860
2.482 -2.304 3.392
5.177 -2.465 -4.275
7.271 -2.250 1.314
0.023 -4.775 1.217
1.073 -1.252 -0.109
0.799 -3.931 -1.116
0.931 0.245 2.013
1.262 -6.299 -0.291
1.543 -2.228 2.118
2.529 -6.392 -2.509
1.844 -1.635 4.586
2.875 -3.739 3.482
3.589 -5.606 -0.338
2.118 -4.559 6.807
6.495 -3.094 3.648
2.661 -6.305 3.814
4.633 -0.719 -1.283
3.705 -1.419 2.869
4.419 -3.286 -0.951
5.450 -5.390 -2.054
4.766 -0.632 5.040
5.752 -4.797 0.413
6.032 -0.726 2.822
6.363 -7.270 0.519
6.221 -5.773 2.640


What is the most stable structure shown above? It is 2.